[1]
This record from Alexandria via LeMat-Bulk describes CaSc2Se at its PBEsol-relaxed geometry. The functional is SCAN.

## Properties
- Raw formation energy: -0.347 eV per atom
- DFT total energy: -119.21 eV per cell

a = 4.239 Å, b = 4.239 Å, c = 10.035 Å
α = 90.00°, β = 90.00°, γ = 90.00°
Space group I-4m2 (No. 119)
One atom of each set of equivalent atoms:
Ca (0.000, 0.000, 0.000) x2
Sc (0.000, 0.000, 0.500) x2
Sc (0.000, 0.500, 0.250) x2
Se (0.000, 0.500, 0.750) x2

=====

[2]
This record from Alexandria via LeMat-Bulk describes SrTl2Mo at its PBEsol-relaxed geometry. The functional is SCAN.

## Properties
- Energy of formation from the pure elements: 323 meV/atom
- DFT total energy: -200.58 eV per cell

a = 3.462 Å, b = 3.797 Å, c = 7.175 Å
α = 90.00°, β = 90.00°, γ = 90.00°
Space group Pmmm (No. 47)
One atom of each set of equivalent atoms:
Sr (0.000, 0.000, 0.000) x1
Tl (0.500, 0.500, 0.295) x2
Mo (0.000, 0.000, 0.500) x1

=====

[3]
This record from Alexandria via LeMat-Bulk describes LaScCu2 at its PBEsol-relaxed geometry. The functional is SCAN.

## Properties
- Energy relative to the lowest polymorph listed for this composition: 192.5 meV/atom
- Energy of formation from the pure elements: -39 meV/atom
- DFT total energy: -175.79 eV per cell

a = 3.259 Å, b = 4.663 Å, c = 10.132 Å
α = 90.00°, β = 90.00°, γ = 90.00°
Space group Imm2 (No. 44)
One atom of each set of equivalent atoms:
La (0.000, 0.000, 0.000) x2
Sc (0.000, 0.500, 0.204) x2
Cu (0.000, 0.000, 0.436) x2
Cu (0.000, 0.500, 0.760) x2

=====

[4]
This record from Alexandria via LeMat-Bulk describes Ba2TlFe at its PBEsol-relaxed geometry. The functional is SCAN.

## Properties
- Energy of formation from the pure elements: 216 meV/atom
- DFT total energy: -168.73 eV per cell

a = 3.752 Å, b = 3.752 Å, c = 9.415 Å
α = 90.00°, β = 90.00°, γ = 90.00°
Space group P4mm (No. 99)
One atom of each set of equivalent atoms:
Ba (0.000, 0.000, 0.000) x1
Ba (0.500, 0.500, 0.405) x1
Tl (0.500, 0.500, 0.753) x1
Fe (0.000, 0.000, 0.657) x1

=====

[5]
This record from Alexandria via LeMat-Bulk describes YV6Sn6 at its PBEsol-relaxed geometry. The functional is SCAN.

## Properties
- Energy of formation from the pure elements: -305 meV/atom
- DFT total energy: -352.27 eV per cell

a = 5.4292 Å, b = 5.4292 Å, c = 9.1330 Å
α = 90.00°, β = 90.00°, γ = 120.00°
Space group P6/mmm (No. 191)
One atom of each set of equivalent atoms:
Y (0.0000, 0.0000, 0.0000) x1
V (0.0000, 0.5000, 0.2485) x6
Sn (0.0000, 0.0000, 0.3304) x2
Sn (0.3333, 0.6667, 0.0000) x2
Sn (0.3333, 0.6667, 0.5000) x2

=====

[6]
This record from Alexandria via LeMat-Bulk describes GaAgTeSe at its PBEsol-relaxed geometry. The functional is SCAN.

## Properties
- Raw formation energy: -0.369 eV per atom
- DFT total energy: -426.08 eV per cell

a = 6.014 Å, b = 6.181 Å, c = 11.563 Å
α = 90.00°, β = 90.00°, γ = 90.00°
Space group I2_12_12_1 (No. 24)
One atom of each set of equivalent atoms:
Ga (0.000, 0.250, 0.119) x4
Ag (0.000, 0.250, 0.611) x4
Te (0.242, 0.500, 0.250) x4
Se (0.250, 0.030, 0.000) x4

=====

[7]
This record from Alexandria via LeMat-Bulk describes Cd2CoAg at its PBEsol-relaxed geometry. The functional is SCAN.

## Properties
- Energy of formation from the pure elements: 118 meV/atom
- DFT total energy: -109.03 eV per cell

a = 2.920 Å, b = 2.920 Å, c = 7.555 Å
α = 90.00°, β = 90.00°, γ = 90.00°
Space group P4/mmm (No. 123)
One atom of each set of equivalent atoms:
Cd (0.000, 0.000, 0.225) x2
Co (0.500, 0.500, 0.000) x1
Ag (0.500, 0.500, 0.500) x1

=====

[8]
This record from Alexandria via LeMat-Bulk describes TcAsW2 at its PBEsol-relaxed geometry. The functional is SCAN.

## Properties
- Energy of formation from the pure elements: 419 meV/atom
- DFT total energy: -385.90 eV per cell

a = 5.390 Å, b = 8.362 Å, c = 2.830 Å
α = 90.00°, β = 108.15°, γ = 90.00°
Space group C2/m (No. 12)
One atom of each set of equivalent atoms:
Tc (0.000, 0.000, 0.000) x2
As (0.000, 0.500, 0.000) x2
W (0.250, 0.250, 0.500) x4

=====

[9]
This record from Alexandria via LeMat-Bulk describes CaCr4Ir at its PBEsol-relaxed geometry. The functional is SCAN.

## Properties
- Energy of formation from the pure elements: 413 meV/atom
- DFT total energy: -607.30 eV per cell

a = 6.872 Å, b = 6.872 Å, c = 6.872 Å
α = 90.00°, β = 90.00°, γ = 90.00°
Space group F-43m (No. 216)
One atom of each set of equivalent atoms:
Ca (0.000, 0.000, 0.000) x4
Cr (0.126, 0.126, 0.374) x16
Ir (0.250, 0.250, 0.750) x4

=====

[10]
This record from Alexandria via LeMat-Bulk describes Li2NiOs at its PBEsol-relaxed geometry. The functional is SCAN.

## Properties
- Energy relative to the lowest polymorph listed for this composition: 182.8 meV/atom
- Energy of formation from the pure elements: 210 meV/atom
- DFT total energy: -91.99 eV per cell

a = 2.474 Å, b = 2.474 Å, c = 8.180 Å
α = 90.00°, β = 90.00°, γ = 90.00°
Space group P4/mmm (No. 123)
One atom of each set of equivalent atoms:
Li (0.000, 0.000, 0.236) x2
Ni (0.500, 0.500, 0.000) x1
Os (0.500, 0.500, 0.500) x1

=====

[11]
This record from Alexandria via LeMat-Bulk describes Sr2PtPb at its PBEsol-relaxed geometry. The functional is SCAN.

## Properties
- Energy of formation from the pure elements: -793 meV/atom
- DFT total energy: -193.70 eV per cell

a = 3.601 Å, b = 3.601 Å, c = 8.634 Å
α = 90.00°, β = 90.00°, γ = 90.00°
Space group P4/mmm (No. 123)
One atom of each set of equivalent atoms:
Sr (0.000, 0.000, 0.210) x2
Pt (0.500, 0.500, 0.000) x1
Pb (0.500, 0.500, 0.500) x1

=====

[12]
This record from Alexandria via LeMat-Bulk describes RbAlFe3 at its PBEsol-relaxed geometry. The functional is SCAN.

## Properties
- Energy relative to the lowest polymorph listed for this composition: 1475.8 meV/atom
- Energy of formation from the pure elements: 2628 meV/atom
- DFT total energy: -69.74 eV per cell

a = 4.520 Å, b = 4.520 Å, c = 4.520 Å
α = 90.00°, β = 90.00°, γ = 90.00°
Space group Pm-3m (No. 221)
One atom of each set of equivalent atoms:
Rb (0.000, 0.000, 0.000) x1
Al (0.500, 0.500, 0.500) x1
Fe (0.000, 0.000, 0.500) x3

=====

Among the records above, which one has the lowest DFT total energy? CaCr4Ir